{
  "formula": "Cu2NiRh",
  "functional": "GGA-PBEsol",
  "state": "optimized geometry",
  "dos_ef_per_ev_cell": 5.27,
  "polymorph_energy_ev_per_fu": 0.396,
  "density_g_cm3": 10.06,
  "e_tot_ev_per_atom": -5.591,
  "magmom_total_mub_per_atom": 0.0321,
  "ef_ev_per_atom": 0.15,
  "lattice": [[2.5181, -0.0073, 0.0000], [-1.1546, 2.2378, 0.0000], [0.0000, 0.0000, 8.4658]],
  "species": ["Cu", "Rh", "Cu", "Ni"],
  "fractional_positions": [[0.0000, 0.0000, 0.7390], [0.5000, 0.5000, 0.0000], [0.0000, 0.0000, 0.2610], [0.5000, 0.5000, 0.5000]]
}

{
  "formula": "Cu2NiRh",
  "functional": "GGA-PBEsol",
  "state": "optimized geometry",
  "dos_ef_per_ev_cell": 5.33,
  "polymorph_energy_ev_per_fu": 0.069,
  "density_g_cm3": 10.21,
  "e_tot_ev_per_atom": -5.673,
  "magmom_total_mub_per_atom": 0.1978,
  "ef_ev_per_atom": 0.07,
  "lattice": [[-0.3855, -2.3045, -1.0798], [3.3086, -0.9607, 0.8692], [-1.7068, -1.8173, 4.4879]],
  "species": ["Cu", "Rh", "Cu", "Ni"],
  "fractional_positions": [[0.5000, 0.5000, 0.7523], [0.5000, 0.5000, 0.2590], [0.0000, 0.0000, 0.9894], [0.0000, 0.0000, 0.4993]]
}

{
  "formula": "Cu2NiRh",
  "functional": "GGA-PBEsol",
  "state": "optimized geometry",
  "dos_ef_per_ev_cell": 4.51,
  "polymorph_energy_ev_per_fu": 0.094,
  "density_g_cm3": 10.22,
  "e_tot_ev_per_atom": -5.666,
  "magmom_total_mub_per_atom": 0.2653,
  "ef_ev_per_atom": 0.07,
  "lattice": [[3.6306, 0.0000, 0.0000], [0.0000, 3.6306, 0.0000], [-1.8153, -1.8153, 3.5571]],
  "species": ["Ni", "Rh", "Cu", "Cu"],
  "fractional_positions": [[0.5000, 0.5000, 0.0000], [0.2500, 0.7500, 0.5000], [0.0000, 0.0000, 0.0000], [0.7500, 0.2500, 0.5000]]
}

{
  "formula": "Cu2NiRh",
  "functional": "GGA-PBEsol",
  "state": "optimized geometry",
  "dos_ef_per_ev_cell": 6.92,
  "polymorph_energy_ev_per_fu": 0.262,
  "density_g_cm3": 10.19,
  "e_tot_ev_per_atom": -5.624,
  "magmom_total_mub_per_atom": 0.1305,
  "ef_ev_per_atom": 0.12,
  "lattice": [[-0.7620, -1.8253, 1.6283], [-1.0966, -2.5878, -3.4142], [4.2054, -0.7161, 1.1654]],
  "species": ["Cu", "Ni", "Rh", "Cu"],
  "fractional_positions": [[0.0000, 0.5000, 0.0000], [0.5000, 0.0000, 0.0000], [0.5000, 0.5000, 0.5000], [0.0000, 0.0000, 0.5000]]
}

{
  "formula": "Cu2NiRh",
  "functional": "GGA-PBEsol",
  "state": "optimized geometry",
  "dos_ef_per_ev_cell": 4.51,
  "polymorph_energy_ev_per_fu": 0.006,
  "density_g_cm3": 10.22,
  "e_tot_ev_per_atom": -5.688,
  "magmom_total_mub_per_atom": 0.1973,
  "ef_ev_per_atom": 0.05,
  "lattice": [[2.5917, 0.0000, 0.0000], [0.0000, 2.5917, 0.0000], [0.0000, 0.0000, 6.9811]],
  "species": ["Rh", "Ni", "Cu", "Cu"],
  "fractional_positions": [[0.5000, 0.5000, 0.7425], [0.0000, 0.0000, 0.4933], [0.5000, 0.5000, 0.2537], [0.0000, 0.0000, 0.0105]]
}

{
  "formula": "Cu2NiRh",
  "functional": "GGA-PBEsol",
  "state": "optimized geometry",
  "dos_ef_per_ev_cell": 5.24,
  "polymorph_energy_ev_per_fu": 0.096,
  "density_g_cm3": 10.18,
  "e_tot_ev_per_atom": -5.666,
  "magmom_total_mub_per_atom": 0.1149,
  "ef_ev_per_atom": 0.08,
  "lattice": [[-1.2719, -2.2227, -0.1525], [0.2333, -1.7421, 1.8686], [-6.7522, 2.0721, 4.5359]],
  "species": ["Cu", "Ni", "Cu", "Rh"],
  "fractional_positions": [[0.2465, 0.2465, 0.2606], [0.5000, 0.5000, 0.5000], [0.7535, 0.7535, 0.7394], [0.0000, 0.0000, 0.0000]]
}

{
  "formula": "Cu2NiRh",
  "functional": "GGA-PBEsol",
  "state": "optimized geometry",
  "dos_ef_per_ev_cell": 5.20,
  "polymorph_energy_ev_per_fu": 0.205,
  "density_g_cm3": 10.18,
  "e_tot_ev_per_atom": -5.639,
  "magmom_total_mub_per_atom": 0.0001,
  "ef_ev_per_atom": 0.10,
  "lattice": [[2.6455, 0.0000, 0.0000], [0.0000, 4.2096, 0.0000], [0.0000, 0.0000, 4.2278]],
  "species": ["Rh", "Cu", "Cu", "Ni"],
  "fractional_positions": [[0.0000, 0.5000, 0.5000], [0.0000, 0.0000, 0.0000], [0.5000, 0.5000, 0.0000], [0.5000, 0.0000, 0.5000]]
}

{
  "formula": "Cu2NiRh",
  "functional": "GGA-PBEsol",
  "state": "optimized geometry",
  "dos_ef_per_ev_cell": 6.12,
  "polymorph_energy_ev_per_fu": 0.000,
  "density_g_cm3": 10.25,
  "e_tot_ev_per_atom": -5.690,
  "magmom_total_mub_per_atom": 0.0137,
  "ef_ev_per_atom": 0.05,
  "lattice": [[-0.7835, 1.3780, -2.0144], [-0.0987, -3.6302, -2.4450], [-3.5571, -0.6573, 2.5649]],
  "species": ["Cu", "Rh", "Cu", "Ni"],
  "fractional_positions": [[0.2469, 0.2433, 0.4939], [0.0000, 0.5000, 0.0000], [0.7531, 0.7567, 0.5061], [0.5000, 0.0000, 0.0000]]
}

{
  "formula": "Cu2NiRh",
  "functional": "GGA-PBEsol",
  "state": "optimized geometry",
  "dos_ef_per_ev_cell": 5.43,
  "polymorph_energy_ev_per_fu": 0.088,
  "density_g_cm3": 10.20,
  "e_tot_ev_per_atom": -5.668,
  "magmom_total_mub_per_atom": 0.1274,
  "ef_ev_per_atom": 0.07,
  "lattice": [[-0.8561, -1.0964, 2.1830], [1.6606, -3.8627, -1.2889], [3.6919, 2.1760, 1.0061]],
  "species": ["Cu", "Rh", "Cu", "Ni"],
  "fractional_positions": [[0.9985, 0.9846, 0.9970], [0.7529, 0.2658, 0.5058], [0.2482, 0.7597, 0.4963], [0.5004, 0.4899, 0.0009]]
}

{
  "formula": "Cu2NiRh",
  "functional": "GGA-PBEsol",
  "state": "optimized geometry",
  "dos_ef_per_ev_cell": 3.96,
  "polymorph_energy_ev_per_fu": 0.026,
  "density_g_cm3": 10.16,
  "e_tot_ev_per_atom": -5.683,
  "magmom_total_mub_per_atom": 0.2646,
  "ef_ev_per_atom": 0.06,
  "lattice": [[-1.5517, -0.6123, 1.9602], [-1.7507, -1.8661, -0.2788], [4.3886, -6.3668, 3.1752]],
  "species": ["Cu", "Rh", "Ni", "Cu"],
  "fractional_positions": [[0.0025, 0.0025, 0.9926], [0.2484, 0.2484, 0.2548], [0.4982, 0.4982, 0.5053], [0.7509, 0.7509, 0.7473]]
}

{
  "formula": "Cu2NiRh",
  "functional": "GGA-PBEsol",
  "state": "optimized geometry",
  "dos_ef_per_ev_cell": 6.49,
  "polymorph_energy_ev_per_fu": 0.218,
  "density_g_cm3": 10.22,
  "e_tot_ev_per_atom": -5.635,
  "magmom_total_mub_per_atom": 0.2305,
  "ef_ev_per_atom": 0.11,
  "lattice": [[-0.6310, -3.0184, 1.8000], [1.3160, -1.8986, -2.7226], [3.3587, 0.1878, 1.4925]],
  "species": ["Cu", "Cu", "Ni", "Rh"],
  "fractional_positions": [[0.5000, 0.0000, 0.0000], [0.0000, 0.5000, 0.0000], [0.5000, 0.5000, 0.5000], [0.0000, 0.0000, 0.5000]]
}

{
  "formula": "Cu2NiRh",
  "functional": "GGA-PBEsol",
  "state": "optimized geometry",
  "dos_ef_per_ev_cell": 5.69,
  "polymorph_energy_ev_per_fu": 0.183,
  "density_g_cm3": 10.22,
  "e_tot_ev_per_atom": -5.644,
  "magmom_total_mub_per_atom": 0.0000,
  "ef_ev_per_atom": 0.10,
  "lattice": [[-2.4156, -0.1146, -1.0474], [-1.0648, -2.9950, 2.7834], [0.4325, 4.5209, 1.8233]],
  "species": ["Cu", "Rh", "Ni", "Cu"],
  "fractional_positions": [[0.7596, 0.7596, 0.5191], [0.0000, 0.5000, 0.0000], [0.5000, 0.0000, 0.0000], [0.2404, 0.2404, 0.4809]]
}

{
  "formula": "CuNiRu2",
  "functional": "GGA-PBEsol",
  "state": "optimized geometry",
  "dos_ef_per_ev_cell": 4.67,
  "density_g_cm3": 11.03,
  "e_tot_ev_per_atom": -7.422,
  "magmom_total_mub_per_atom": 0.0001,
  "ef_ev_per_atom": 0.29,
  "lattice": [[3.5927, 0.0000, 0.0000], [0.0000, 3.5927, 0.0000], [0.0000, 0.0000, 3.7829]],
  "species": ["Ru", "Ru", "Cu", "Ni"],
  "fractional_positions": [[0.5000, 0.0000, 0.0000], [0.0000, 0.5000, 0.0000], [0.5000, 0.5000, 0.5000], [0.0000, 0.0000, 0.5000]]
}

{
  "formula": "CuNiS2",
  "functional": "GGA-PBEsol",
  "state": "optimized geometry",
  "raw_formation_energy_mev_per_atom": -301.0,
  "dos_ef_per_ev_cell": 7.44,
  "density_g_cm3": 4.82,
  "e_tot_ev_per_atom": -5.116,
  "magmom_total_mub_per_atom": 0.0001,
  "lattice": [[5.0443, 0.0000, 0.0000], [0.0000, 5.0443, 0.0000], [-2.5222, -2.5222, 5.0483]],
  "species": ["S", "Ni", "Cu", "Ni", "S", "S", "Cu", "S"],
  "fractional_positions": [[0.1250, 0.1401, 0.7500], [0.7500, 0.2500, 0.5000], [0.0000, 0.0000, 0.0000], [0.5000, 0.5000, 0.0000], [0.3901, 0.8750, 0.2500], [0.6250, 0.6099, 0.7500], [0.2500, 0.7500, 0.5000], [0.8599, 0.3750, 0.2500]]
}

{
  "formula": "CuNiS2",
  "functional": "GGA-PBEsol",
  "state": "optimized geometry",
  "raw_formation_energy_mev_per_atom": 215.0,
  "dos_ef_per_ev_cell": 3.39,
  "density_g_cm3": 6.12,
  "e_tot_ev_per_atom": -4.600,
  "magmom_total_mub_per_atom": 0.0023,
  "lattice": [[-3.1813, 2.2016, 1.5067], [-1.3001, -0.6278, 3.8927], [0.6671, 2.8919, 2.9033]],
  "species": ["S", "Cu", "S", "Ni"],
  "fractional_positions": [[0.2500, 0.2500, 0.2500], [0.5000, 0.5000, 0.5000], [0.7500, 0.7500, 0.7500], [0.0000, 0.0000, 0.0000]]
}

{
  "formula": "CuNiSbS3",
  "functional": "GGA-PBEsol",
  "state": "optimized geometry",
  "raw_formation_energy_mev_per_atom": -354.7,
  "density_g_cm3": 5.31,
  "e_tot_ev_per_atom": -5.055,
  "magmom_total_mub_per_atom": 0.0000,
  "lattice": [[-3.3323, 3.4192, 0.0587], [-3.6600, -3.4749, -5.3685], [-6.2461, -6.2297, 8.2907]],
  "species": ["Cu", "Sb", "Sb", "Cu", "Cu", "Ni", "S", "S", "S", "Cu", "S", "S", "S", "S", "Ni", "S", "Ni", "S", "S", "S", "Sb", "Ni", "Sb", "S"],
  "fractional_positions": [[0.4805, 0.1193, 0.5587], [0.4168, 0.1277, 0.8623], [0.5832, 0.6277, 0.6377], [0.5195, 0.6193, 0.9413], [0.9805, 0.3807, 0.4413], [0.4889, 0.6322, 0.2537], [0.7244, 0.6302, 0.4113], [0.7756, 0.3698, 0.9113], [0.2756, 0.1302, 0.0887], [0.0195, 0.8807, 0.0587], [0.2785, 0.3778, 0.2973], [0.2666, 0.6299, 0.0955], [0.2215, 0.6222, 0.7973], [0.2244, 0.8698, 0.5887], [0.5111, 0.1322, 0.2463], [0.2334, 0.3701, 0.5955], [0.0111, 0.3678, 0.7537], [0.7334, 0.1299, 0.4045], [0.7666, 0.8701, 0.9045], [0.7785, 0.1222, 0.7027], [0.9168, 0.3723, 0.1377], [0.9889, 0.8678, 0.7463], [0.0832, 0.8723, 0.3623], [0.7215, 0.8778, 0.2027]]
}

{
  "formula": "Cu4Si2NiS7",
  "functional": "GGA-PBEsol",
  "state": "optimized geometry",
  "raw_formation_energy_mev_per_atom": -461.5,
  "dos_ef_per_ev_cell": 7.83,
  "density_g_cm3": 4.19,
  "e_tot_ev_per_atom": -5.153,
  "magmom_total_mub_per_atom": 0.0914,
  "lattice": [[5.1959, 0.0000, 0.0000], [-2.5979, 5.6880, 0.0028], [0.0000, -1.2196, 7.9604]],
  "species": ["S", "Si", "Cu", "S", "S", "S", "S", "Ni", "Cu", "S", "Cu", "Cu", "Si", "S"],
  "fractional_positions": [[0.7367, 0.0000, 0.0000], [0.5666, 0.1490, 0.2186], [0.2958, 0.5803, 0.3604], [0.3201, 0.1282, 0.7101], [0.0537, 0.5688, 0.8528], [0.8932, 0.2780, 0.4173], [0.1919, 0.8718, 0.2899], [0.9980, 0.0000, 0.5000], [0.7154, 0.4197, 0.6396], [0.4848, 0.4312, 0.1472], [0.1576, 0.2786, 0.9317], [0.8790, 0.7214, 0.0683], [0.4176, 0.8510, 0.7814], [0.6152, 0.7220, 0.5827]]
}

{
  "formula": "Cu2NiSn3S8",
  "functional": "GGA-PBEsol",
  "state": "optimized geometry",
  "raw_formation_energy_mev_per_atom": -393.7,
  "dos_ef_per_ev_cell": 3.53,
  "density_g_cm3": 4.97,
  "e_tot_ev_per_atom": -4.871,
  "magmom_total_mub_per_atom": 0.1284,
  "lattice": [[-1.0329, -7.0289, -1.1547], [3.4356, -4.8042, 4.1137], [-3.7285, -3.8631, 4.7938]],
  "species": ["S", "S", "S", "Cu", "S", "S", "S", "Sn", "Cu", "S", "Sn", "Ni", "Sn", "S"],
  "fractional_positions": [[0.7650, 0.2337, 0.7650], [0.7650, 0.7650, 0.2337], [0.2350, 0.2350, 0.7663], [0.6154, 0.6154, 0.6154], [0.2337, 0.7650, 0.7650], [0.7663, 0.2350, 0.2350], [0.2529, 0.2529, 0.2529], [0.5000, 0.0000, 0.0000], [0.3846, 0.3846, 0.3846], [0.7471, 0.7471, 0.7471], [0.0000, 0.0000, 0.5000], [0.0000, 0.0000, 0.0000], [0.0000, 0.5000, 0.0000], [0.2350, 0.7663, 0.2350]]
}

{
  "formula": "SrCu2NiS",
  "functional": "GGA-PBEsol",
  "state": "optimized geometry",
  "raw_formation_energy_mev_per_atom": 1818.0,
  "dos_ef_per_ev_cell": 2.79,
  "density_g_cm3": 4.42,
  "e_tot_ev_per_atom": -2.392,
  "magmom_total_mub_per_atom": 0.0000,
  "lattice": [[4.6201, 0.0000, 0.0000], [0.0000, 4.9850, 0.0000], [0.0000, 0.0000, 4.9850]],
  "species": ["Sr", "Cu", "Ni", "Cu", "S"],
  "fractional_positions": [[0.0000, 0.0000, 0.0000], [0.0000, 0.0000, 0.5000], [0.5000, 0.0000, 0.0000], [0.0000, 0.5000, 0.0000], [0.5000, 0.5000, 0.5000]]
}

{
  "formula": "CuNi2Sb",
  "functional": "GGA-PBEsol",
  "state": "optimized geometry",
  "raw_formation_energy_mev_per_atom": -123.4,
  "dos_ef_per_ev_cell": 2.40,
  "density_g_cm3": 9.81,
  "e_tot_ev_per_atom": -5.425,
  "magmom_total_mub_per_atom": 0.0001,
  "lattice": [[-3.7610, 1.1989, -0.3356], [0.6911, -3.9230, 1.6235], [-0.4992, -0.4737, 3.9015]],
  "species": ["Cu", "Sb", "Ni", "Ni"],
  "fractional_positions": [[0.5000, 0.0000, 0.5000], [0.0000, 0.0000, 0.0000], [0.2500, 0.5000, 0.2500], [0.7500, 0.5000, 0.7500]]
}